Below is BaY2O2 after structural relaxation, with properties calculated at the PBE level.

Cell: 4.0178 4.0178 18.1859 Å, 90.00 90.00 90.00°
Space group I4/mmm (No. 139)
One atom of each set of equivalent atoms:
1 Ba 0.0000 0.0000 0.0000
2 Y 0.0000 0.0000 0.3066
3 O 0.0000 0.5000 0.2500

Values from the calculation:
* density: 3.927 g cm⁻³
* total energy: -7.231 eV per atom